The following is a PBE calculation of crystalline NaScCo2 at its relaxed geometry, from Alexandria via LeMat-Bulk.

a b c (Å): 4.1908 4.1908 9.3376
angles (deg): 77.03 77.03 90.00
Closest atoms and distances in Å follow each position.
Sites, in units of the cell vectors:
Sc  0.7500  0.2500  0.5000  4 Co 2.50
Sc  0.0000  0.0000  0.0000  4 Co 2.50
Co  0.8750  0.0094  0.7500  2 Co 2.31, 2 Sc 2.50
Co  0.3750  0.2406  0.7500  2 Co 2.31, 2 Sc 2.50
Co  0.9906  0.6250  0.2500  2 Co 2.31, 2 Sc 2.50
Co  0.7594  0.1250  0.2500  2 Co 2.31, 2 Sc 2.50
Na  0.2500  0.7500  0.5000  4 Co 2.93, 4 Sc 2.96
Na  0.5000  0.5000  0.0000  4 Co 2.93, 4 Sc 2.96

Results
Relative energy among the computed polymorphs, eV/atom: 0.221


The following is a PBE calculation of crystalline Na2ScCo at its relaxed geometry, from Alexandria via LeMat-Bulk.

a b c (Å): 3.7707 3.7707 11.9295
angles (deg): 80.91 80.91 90.00
Closest atoms and distances in Å follow each position.
Sites, in units of the cell vectors:
Na  0.3750  0.3578  0.7500  4 Na 2.58-2.76
Na  0.6422  0.1250  0.2500  4 Na 2.58-2.76
Na  0.8750  0.8922  0.7500  4 Na 2.58-2.76
Na  0.1078  0.6250  0.2500  4 Na 2.58-2.76
Co  0.7500  0.2500  0.5000  4 Sc 2.67
Co  0.0000  0.0000  0.0000  4 Sc 2.67
Sc  0.2500  0.7500  0.5000  4 Co 2.67
Sc  0.5000  0.5000  0.0000  4 Co 2.67

Results
Relative energy among the computed polymorphs, eV/atom: 0.000


Going through the records in order, we get energy relative to the elements values of 0.715; 0.495 eV per atom.